# 1
{"formula": "LiLaPt4", "functional": "PBE", "state": "optimized geometry", "magnetic_moment_mub_per_fu": 0.00, "total_energy_ev_per_atom": -6.06, "volume_a3_per_atom": 18.79, "lattice": [[-0.244, 4.263, 3.342], [0.186, -0.749, 5.367], [4.394, 1.507, 2.797]], "species": ["Pt", "Pt", "Pt", "Pt", "La", "Li"], "frac_coords": [[0.123, 0.626, 0.626], [0.626, 0.626, 0.626], [0.626, 0.123, 0.626], [0.626, 0.626, 0.123], [0.250, 0.250, 0.250], [0.000, 0.000, 0.000]]}

# 2
{"formula": "Li6La2Pt3", "functional": "PBE", "state": "optimized geometry", "magnetic_moment_mub_per_fu": 0.00, "total_energy_ev_per_atom": -4.16, "volume_a3_per_atom": 19.50, "lattice": [[4.020, 0.000, 0.000], [0.000, 7.850, 0.000], [0.000, -3.925, 6.798]], "species": ["Li", "Li", "Li", "Li", "Li", "Li", "La", "La", "Pt", "Pt", "Pt"], "frac_coords": [[0.000, 0.207, 0.207], [0.000, 0.793, 0.000], [0.500, 0.000, 0.256], [0.000, 0.000, 0.793], [0.500, 0.256, 0.000], [0.500, 0.744, 0.744], [0.000, 0.667, 0.333], [0.000, 0.333, 0.667], [0.500, 0.000, 0.592], [0.500, 0.592, 0.000], [0.500, 0.408, 0.408]]}

# 3
{"formula": "Li2LaPt", "functional": "PBE", "state": "optimized geometry", "magnetic_moment_mub_per_fu": 0.15, "relative_energy_ev_per_atom": 0.237, "total_energy_ev_per_atom": -4.01, "volume_a3_per_atom": 19.53, "lattice": [[-0.706, -0.718, 3.000], [2.536, -3.422, -0.223], [4.473, 3.196, 1.817]], "species": ["Li", "Li", "La", "Pt"], "frac_coords": [[0.000, 0.000, 0.062], [0.000, 0.000, 0.438], [0.500, 0.500, 0.750], [0.500, 0.500, 0.250]]}